[1]
# MgIr14Rh | Alexandria via LeMat-Bulk | PBE | optimized geometry
# Calculated formation energy (eV per atom): -0.039
# Total moment (μB/cell): 0.00
# D(E_F) (states/eV/cell): 13.9
data_MgIr14Rh
_chemical_formula_sum 'Mg1 Ir14 Rh1'
_cell_length_a 5.488
_cell_length_b 5.488
_cell_length_c 7.746
_cell_angle_alpha 90.00
_cell_angle_beta 90.00
_cell_angle_gamma 90.00
_symmetry_space_group_name_H-M 'P 4/m m m'
_symmetry_Int_Tables_number 123
_symmetry_space_group_name_Hall '-P 4 2'
loop_
_atom_site_label
_atom_site_fract_x
_atom_site_fract_y
_atom_site_fract_z
Mg1 0.000 0.000 0.000
Ir1 0.000 0.000 0.500
Ir2 0.000 0.500 0.000
Ir3 0.000 0.500 0.500
Ir4 0.251 0.251 0.253
Ir5 0.500 0.500 0.500
Rh1 0.500 0.500 0.000

***

[2]
# Mg2IrRh | Alexandria via LeMat-Bulk | PBE | optimized geometry
# Calculated formation energy (eV per atom): -0.242
# Total moment (μB/cell): 0.00
# D(E_F) (states/eV/cell): 4.8
data_Mg2IrRh
_chemical_formula_sum 'Mg4 Ir2 Rh2'
_cell_length_a 3.086
_cell_length_b 4.727
_cell_length_c 8.496
_cell_angle_alpha 90.00
_cell_angle_beta 90.00
_cell_angle_gamma 90.00
_symmetry_space_group_name_H-M 'I m m m'
_symmetry_Int_Tables_number 71
_symmetry_space_group_name_Hall '-I 2 2'
loop_
_atom_site_label
_atom_site_fract_x
_atom_site_fract_y
_atom_site_fract_z
Mg1 0.000 0.000 0.247
Ir1 0.000 0.500 0.000
Rh1 0.000 0.500 0.500